Entry 1:
Material: ZrC
Method: DFT, PBE-GGA
State: relaxed

Calculated values
DFT formation energy	0.640	eV per atom
offset from the most stable computed form	1447	meV/atom

a = 4.632 Å, b = 4.632 Å, c = 4.632 Å
α = 90.00°, β = 90.00°, γ = 90.00°
Fractional coordinates of all 6 atoms:
Zr (0.000, 0.500, 0.000)
Zr (0.000, 0.000, 0.500)
Zr (0.500, 0.000, 0.000)
C (0.500, 0.000, 0.500)
C (0.500, 0.500, 0.000)
C (0.000, 0.500, 0.500)

Entry 2:
Material: PmMnZn10
Method: DFT, PBE-GGA
State: relaxed

Calculated values
DFT formation energy	-0.064	eV per atom

a = 4.330 Å, b = 5.112 Å, c = 9.116 Å
α = 90.00°, β = 90.00°, γ = 90.00°
Each line ends with the local moment (μB).
Fractional coordinates of all 12 atoms:
Pm (0.000, 0.000, 0.000)  0.05
Mn (0.000, 0.500, 0.500)  3.95
Zn (0.000, 0.000, 0.349)  -0.01
Zn (0.000, 0.500, 0.801)  0.00
Zn (0.000, 0.500, 0.199)  0.00
Zn (0.000, 0.000, 0.651)  -0.01
Zn (0.500, 0.000, 0.500)  -0.02
Zn (0.500, 0.500, 0.000)  0.00
Zn (0.500, 0.245, 0.247)  -0.01
Zn (0.500, 0.755, 0.753)  -0.01
Zn (0.500, 0.755, 0.247)  -0.01
Zn (0.500, 0.245, 0.753)  -0.01

Entry 3:
Material: Nd4ErSb5
Method: DFT, PBE-GGA
State: relaxed

Calculated values
raw formation energy	-1.162	eV per atom

a = 4.494 Å, b = 4.494 Å, c = 16.181 Å
α = 97.98°, β = 97.98°, γ = 90.00°
Fractional coordinates of all 10 atoms:
Nd (0.401, 0.401, 0.801)
Nd (0.801, 0.801, 0.602)
Nd (0.199, 0.199, 0.398)
Nd (0.599, 0.599, 0.199)
Er (0.000, 0.000, 0.000)
Sb (0.098, 0.098, 0.195)
Sb (0.500, 0.500, 0.000)
Sb (0.902, 0.902, 0.805)
Sb (0.300, 0.300, 0.600)
Sb (0.700, 0.700, 0.400)

Entry 4:
Material: NbPbSe2
Method: DFT, PBE-GGA
State: relaxed

Calculated values
raw formation energy	-0.116	eV per atom

a = 6.767 Å, b = 6.767 Å, c = 7.316 Å
α = 62.45°, β = 62.45°, γ = 90.00°
Each line ends with the local moment (μB).
Fractional coordinates of all 8 atoms:
Pb (0.000, 0.000, 0.000)  0.03
Pb (0.750, 0.250, 0.500)  0.03
Nb (0.500, 0.500, 0.000)  1.29
Nb (0.250, 0.750, 0.500)  1.30
Se (0.563, 0.125, 0.250)  -0.03
Se (0.187, 0.625, 0.250)  -0.03
Se (0.375, 0.437, 0.750)  -0.03
Se (0.875, 0.813, 0.750)  -0.03

Entry 5:
Material: Pm3NiPt2
Method: DFT, PBE-GGA
State: relaxed

Calculated values
DFT formation energy	-0.805	eV per atom
offset from the most stable computed form	80	meV/atom

a = 3.557 Å, b = 3.557 Å, c = 10.634 Å
α = 90.00°, β = 90.00°, γ = 90.00°
Fractional coordinates of all 6 atoms:
Pm (0.000, 0.000, 0.000)
Pm (0.000, 0.000, 0.662)
Pm (0.000, 0.000, 0.338)
Ni (0.500, 0.500, 0.500)
Pt (0.500, 0.500, 0.830)
Pt (0.500, 0.500, 0.170)

Entry 6:
Material: CaIn3Bi3
Method: DFT, PBE-GGA
State: relaxed

Calculated values
DFT formation energy	0.169	eV per atom
offset from the most stable computed form	309	meV/atom

a = 8.387 Å, b = 8.387 Å, c = 8.387 Å
α = 90.00°, β = 90.00°, γ = 90.00°
Fractional coordinates of all 14 atoms:
Ca (0.500, 0.500, 0.500)
Ca (0.000, 0.000, 0.000)
Bi (0.000, 0.250, 0.500)
Bi (0.000, 0.750, 0.500)
Bi (0.500, 0.000, 0.750)
Bi (0.750, 0.500, 0.000)
Bi (0.500, 0.000, 0.250)
Bi (0.250, 0.500, 0.000)
In (0.250, 0.000, 0.500)
In (0.000, 0.500, 0.250)
In (0.500, 0.750, 0.000)
In (0.750, 0.000, 0.500)
In (0.000, 0.500, 0.750)
In (0.500, 0.250, 0.000)

Entry 7:
Material: Pm2Nd3DyTm6
Method: DFT, PBE-GGA
State: relaxed

Calculated values
DFT formation energy	0.018	eV per atom

a = 6.193 Å, b = 6.193 Å, c = 11.709 Å
α = 95.05°, β = 95.05°, γ = 119.99°
Fractional coordinates of all 12 atoms:
Pm (0.333, 0.667, 0.000)
Pm (0.667, 0.333, 0.000)
Nd (0.167, 0.833, 0.500)
Nd (0.833, 0.167, 0.500)
Nd (0.500, 0.500, 0.500)
Dy (0.000, 0.000, 0.000)
Tm (0.917, 0.584, 0.752)
Tm (0.750, 0.750, 0.249)
Tm (0.083, 0.416, 0.248)
Tm (0.584, 0.917, 0.752)
Tm (0.250, 0.250, 0.751)
Tm (0.416, 0.083, 0.248)

Entry 8:
Material: Sm6Bi3N
Method: DFT, PBE-GGA
State: relaxed

Calculated values
raw formation energy	-0.708	eV per atom

a = 7.268 Å, b = 9.611 Å, c = 9.611 Å
α = 100.92°, β = 90.00°, γ = 90.00°
Each line ends with the local moment (μB).
Fractional coordinates of all 20 atoms:
Sm (0.195, 0.698, 0.630)  0.16
Sm (0.695, 0.630, 0.698)  0.16
Sm (0.166, 0.415, 0.893)  0.13
Sm (0.666, 0.893, 0.415)  0.13
Sm (0.139, 0.056, 0.944)  0.13
Sm (0.724, 0.229, 0.771)  0.17
Sm (0.224, 0.771, 0.229)  0.17
Sm (0.639, 0.944, 0.056)  0.13
Sm (0.166, 0.107, 0.585)  0.13
Sm (0.666, 0.585, 0.107)  0.13
Sm (0.195, 0.370, 0.302)  0.16
Sm (0.695, 0.302, 0.370)  0.16
Bi (0.485, 0.937, 0.731)  0.00
Bi (0.985, 0.731, 0.937)  0.00
Bi (0.397, 0.390, 0.610)  -0.01
Bi (0.897, 0.610, 0.390)  -0.01
Bi (0.985, 0.063, 0.269)  0.00
Bi (0.485, 0.269, 0.063)  0.00
N (0.032, 0.200, 0.800)  -0.01
N (0.532, 0.800, 0.200)  -0.01

Entry 9:
Material: AcPaN3
Method: DFT, PBE-GGA
State: relaxed

Calculated values
raw formation energy	-1.190	eV per atom

a = 4.397 Å, b = 4.397 Å, c = 4.397 Å
α = 90.00°, β = 90.00°, γ = 90.00°
Fractional coordinates of all 5 atoms:
Ac (0.500, 0.500, 0.500)
Pa (0.000, 0.000, 0.000)
N (0.000, 0.500, 0.000)
N (0.000, 0.000, 0.500)
N (0.500, 0.000, 0.000)

Entry 10:
Material: TaBePS2
Method: DFT, PBE-GGA
State: relaxed

Calculated values
offset from the most stable computed form	347	meV/atom
raw formation energy	0.775	eV per atom

a = 4.700 Å, b = 3.750 Å, c = 4.700 Å
α = 90.00°, β = 90.00°, γ = 90.00°
Each line ends with the local moment (μB).
Fractional coordinates of all 5 atoms:
P (0.000, 0.000, 0.000)  0.02
S (0.000, 0.000, 0.500)  -0.02
S (0.500, 0.000, 0.000)  -0.03
Be (0.000, 0.500, 0.000)  0.03
Ta (0.500, 0.500, 0.500)  1.23

> What is the formula in the tenth record?

TaBePS2